Record 1
DFT (PBE) results for a relaxed structure of BaGaSe2Br.

Unit cell a=6.266 b=6.266 c=6.256 alpha=90.00 beta=90.00 gamma=90.00
Site moments in Bohr magnetons follow the coordinates.
Fractional coordinates of all 5 atoms:
Ba 0.000 0.000 0.000  0.01
Se 0.000 0.500 0.000  0.57
Se 0.500 0.000 0.000  0.57
Br 0.000 0.000 0.500  0.06
Ga 0.500 0.500 0.500  -0.01

Values from the calculation:
energy relative to the elements, uncorrected	-0.300	eV per atom
space-group type	P4/mmm, No. 123
polymorph energy (0 for the lowest one)	792	meV/atom

=====

Record 2
DFT (PBE) results for a relaxed structure of BaGaSe2Br.

Unit cell a=5.101 b=5.101 c=5.483 alpha=90.00 beta=90.00 gamma=90.00
Fractional coordinates of all 5 atoms:
Ga 0.000 0.000 0.000
Se 0.500 0.000 0.000
Se 0.000 0.500 0.000
Br 0.000 0.000 0.500
Ba 0.500 0.500 0.500

Values from the calculation:
energy relative to the elements, uncorrected	-1.092	eV per atom
space-group type	P4/mmm, No. 123
polymorph energy (0 for the lowest one)	0	meV/atom